# 1
# Mn2CoB2, PBEsol geometry, DFT meta-GGA SCAN
data_Mn2CoB2
_space_group_name_H-M_alt 'P 4/m b m'
_space_group_IT_number 127
_space_group_name_Hall '-P 4 2ab'
_cell_length_a 5.169
_cell_length_b 5.169
_cell_length_c 3.069
_cell_angle_alpha 90.00
_cell_angle_beta 90.00
_cell_angle_gamma 90.00
loop_
_atom_site_label
_atom_site_type_symbol
_atom_site_fract_x
_atom_site_fract_y
_atom_site_fract_z
_atom_site_occupancy
Mn1 Mn 0.173 0.327 0.000 1
Co1 Co 0.000 0.000 0.500 1
B1 B 0.122 0.622 0.500 1
# **DFT formation energy**: -417.8 meV/atom
# **Calculated total energy**: -14.153 eV/atom

# 2
# TiGaNi, PBEsol geometry, DFT meta-GGA SCAN
data_TiGaNi
_space_group_name_H-M_alt 'P -6 2 m'
_space_group_IT_number 189
_space_group_name_Hall 'P -6 -2'
_cell_length_a 6.7594
_cell_length_b 6.7594
_cell_length_c 3.0455
_cell_angle_alpha 90.00
_cell_angle_beta 90.00
_cell_angle_gamma 120.00
loop_
_atom_site_label
_atom_site_type_symbol
_atom_site_fract_x
_atom_site_fract_y
_atom_site_fract_z
_atom_site_occupancy
Ti1 Ti 0.0000 0.6096 0.0000 1
Ga1 Ga 0.0000 0.2754 0.5000 1
Ni1 Ni 0.0000 0.0000 0.0000 1
Ni2 Ni 0.3333 0.6667 0.5000 1
# **DFT formation energy**: -643.3 meV/atom
# **Calculated total energy**: -16.826 eV/atom

# 3
# Tl2NiAs, PBEsol geometry, DFT meta-GGA SCAN
data_Tl2NiAs
_space_group_name_H-M_alt 'F m -3 m'
_space_group_IT_number 225
_space_group_name_Hall '-F 4 2 3'
_cell_length_a 6.867
_cell_length_b 6.867
_cell_length_c 6.867
_cell_angle_alpha 90.00
_cell_angle_beta 90.00
_cell_angle_gamma 90.00
loop_
_atom_site_label
_atom_site_type_symbol
_atom_site_fract_x
_atom_site_fract_y
_atom_site_fract_z
_atom_site_occupancy
Tl1 Tl 0.250 0.250 0.250 1
Ni1 Ni 0.000 0.000 0.000 1
As1 As 0.000 0.000 0.500 1
# **DFT formation energy**: 580.0 meV/atom
# **ΔE to the lowest computed polymorph**: 0.647 eV/atom
# **Calculated total energy**: -44.690 eV/atom

> Number 1 is which compound?

Mn2CoB2

Please write out number 1 again, unchanged.
# Mn2CoB2, PBEsol geometry, DFT meta-GGA SCAN
data_Mn2CoB2
_space_group_name_H-M_alt 'P 4/m b m'
_space_group_IT_number 127
_space_group_name_Hall '-P 4 2ab'
_cell_length_a 5.169
_cell_length_b 5.169
_cell_length_c 3.069
_cell_angle_alpha 90.00
_cell_angle_beta 90.00
_cell_angle_gamma 90.00
loop_
_atom_site_label
_atom_site_type_symbol
_atom_site_fract_x
_atom_site_fract_y
_atom_site_fract_z
_atom_site_occupancy
Mn1 Mn 0.173 0.327 0.000 1
Co1 Co 0.000 0.000 0.500 1
B1 B 0.122 0.622 0.500 1
# **DFT formation energy**: -417.8 meV/atom
# **Calculated total energy**: -14.153 eV/atom

> calculated total energy of number 1 (Mn2CoB2)?

-14.153 eV/atom

> Among the records above, which one has the lowest calculated total energy?

Tl2NiAs